VASP calculation (PBE-GGA) on a relaxed TaNbOF2 crystal.

Properties
Formation energy without anion corrections = -0.977 eV per atom
Offset from the most stable computed form = 0 meV/atom
Density of states at the Fermi level = 4.59 states/eV per cell
Magnetization = 0.7269 μB/atom

Cell lengths 4.278, 4.278, 3.986 Å; angles 90.00, 90.00, 90.00 degrees
Site moments in Bohr magnetons follow the coordinates.
Positions (direct):
F: 0.000 0.500 0.000  0.06
F: 0.500 0.000 0.000  0.06
Ta: 0.000 0.000 0.000  -0.32
O: 0.000 0.000 0.500  0.03
Nb: 0.500 0.500 0.500  3.01